BeRe2W: single point on PBEsol structure, meta-GGA SCAN.

Properties
**M_tot**: 0.0 μB per cell
**D(E_F)**: 1.957 states/eV per cell
**Energy of formation from the pure elements**: -37 meV/atom

Cell and atoms, written as CIF:
```
data_BeRe2W
_space_group_name_H-M_alt 'P 4/m m m'
_space_group_IT_number 123
_space_group_name_Hall '-P 4 2'
_cell_length_a 3.0809
_cell_length_b 3.0809
_cell_length_c 5.6851
_cell_angle_alpha 90.00
_cell_angle_beta 90.00
_cell_angle_gamma 90.00
loop_
_atom_site_label
_atom_site_fract_x
_atom_site_fract_y
_atom_site_fract_z
Be1 0.0000 0.0000 0.0000
Re1 0.5000 0.5000 0.2265
W1 0.0000 0.0000 0.5000
```